Record 1
{
  "formula": "Ca3Al2Pd6",
  "functional": "GGA-PBE",
  "state": "relaxed",
  "lattice_angstrom": [[-4.785, 4.785, 4.785], [4.785, -4.785, 4.785], [4.785, 4.785, -4.785]],
  "species": ["Ca", "Ca", "Ca", "Ca", "Ca", "Ca", "Al", "Al", "Al", "Al", "Pd", "Pd", "Pd", "Pd", "Pd", "Pd", "Pd", "Pd", "Pd", "Pd", "Pd", "Pd"],
  "frac_coords": [[0.000, 0.302, 0.302], [0.000, 0.698, 0.698], [0.302, 0.000, 0.302], [0.302, 0.302, 0.000], [0.698, 0.000, 0.698], [0.698, 0.698, 0.000], [0.000, 0.000, 0.500], [0.000, 0.500, 0.000], [0.500, 0.000, 0.000], [0.500, 0.500, 0.500], [0.000, 0.321, 0.679], [0.000, 0.679, 0.321], [0.321, 0.000, 0.679], [0.321, 0.321, 0.643], [0.321, 0.643, 0.321], [0.321, 0.679, 0.000], [0.357, 0.679, 0.679], [0.643, 0.321, 0.321], [0.679, 0.000, 0.321], [0.679, 0.321, 0.000], [0.679, 0.357, 0.679], [0.679, 0.679, 0.357]],
  "sg": "Im-3m",
  "delta_e_f_ev_per_fu": -8.7
}

=====

Record 2
{
  "formula": "YSb3Rh",
  "functional": "GGA-PBE",
  "state": "relaxed",
  "lattice_angstrom": [[5.178, 0.000, 0.000], [0.000, 5.178, 0.000], [0.000, 0.000, 5.178]],
  "species": ["Y", "Sb", "Sb", "Sb", "Rh"],
  "frac_coords": [[0.000, 0.000, 0.000], [0.000, 0.500, 0.500], [0.500, 0.000, 0.500], [0.500, 0.500, 0.000], [0.500, 0.500, 0.500]],
  "de_polymorph_ev_per_atom": 0.0000,
  "sg": "Pm-3m",
  "formation_energy_uncorrected_ev_per_atom": -0.04
}

=====

Record 3
{
  "formula": "ErTl5Cl8",
  "functional": "GGA-PBE",
  "state": "relaxed",
  "lattice_angstrom": [[6.803, -4.884, 0.000], [6.803, 4.884, 0.000], [-6.584, 0.000, 7.584]],
  "species": ["Er", "Tl", "Tl", "Tl", "Tl", "Tl", "Cl", "Cl", "Cl", "Cl", "Cl", "Cl", "Cl", "Cl"],
  "frac_coords": [[0.000, 0.000, 0.000], [0.056, 0.520, 0.506], [0.303, 0.288, 0.975], [0.480, 0.944, 0.494], [0.712, 0.697, 0.025], [0.722, 0.278, 0.500], [0.008, 0.366, 0.125], [0.011, 0.627, 0.866], [0.032, 0.049, 0.295], [0.373, 0.989, 0.134], [0.478, 0.404, 0.675], [0.596, 0.522, 0.325], [0.634, 0.992, 0.875], [0.951, 0.968, 0.705]],
  "sg": "C2",
  "formation_energy_uncorrected_ev_per_atom": -1.38
}

=====

Record 4
{
  "formula": "TbSi2AgO6",
  "functional": "GGA-PBE",
  "state": "relaxed",
  "lattice_angstrom": [[3.729, -5.624, 0.000], [3.729, 5.624, 0.000], [-1.143, 0.000, 6.507]],
  "species": ["Tb", "Tb", "Si", "Si", "Si", "Si", "Ag", "Ag", "O", "O", "O", "O", "O", "O", "O", "O", "O", "O", "O", "O"],
  "frac_coords": [[0.095, 0.905, 0.750], [0.905, 0.095, 0.250], [0.007, 0.667, 0.137], [0.333, 0.993, 0.363], [0.667, 0.007, 0.637], [0.993, 0.333, 0.863], [0.491, 0.509, 0.750], [0.509, 0.491, 0.250], [0.020, 0.428, 0.151], [0.107, 0.779, 0.405], [0.210, 0.276, 0.878], [0.221, 0.893, 0.095], [0.276, 0.210, 0.378], [0.428, 0.020, 0.651], [0.572, 0.980, 0.349], [0.724, 0.790, 0.622], [0.779, 0.107, 0.905], [0.790, 0.724, 0.122], [0.893, 0.221, 0.595], [0.980, 0.572, 0.849]],
  "sg": "C2/c",
  "formation_energy_uncorrected_ev_per_atom": -2.44
}

=====

Record 5
{
  "formula": "BePCl2O",
  "functional": "GGA-PBE",
  "state": "relaxed",
  "lattice_angstrom": [[3.967, 0.000, 0.000], [0.000, 3.967, 0.000], [0.000, 0.000, 6.229]],
  "species": ["Be", "P", "Cl", "Cl", "O"],
  "frac_coords": [[0.000, 0.000, 0.000], [0.000, 0.000, 0.500], [0.000, 0.500, 0.000], [0.500, 0.000, 0.000], [0.500, 0.500, 0.500]],
  "de_polymorph_ev_per_atom": 0.0000,
  "sg": "P4/mmm",
  "formation_energy_uncorrected_ev_per_atom": 0.54
}

=====

Record 6
{
  "formula": "ZnMo2Se",
  "functional": "GGA-PBE",
  "state": "relaxed",
  "lattice_angstrom": [[3.239, 0.000, 0.000], [0.000, 4.627, 0.000], [0.000, 0.000, 9.269]],
  "species": ["Zn", "Zn", "Mo", "Mo", "Mo", "Mo", "Se", "Se"],
  "frac_coords": [[0.000, 0.000, 0.000], [0.500, 0.500, 0.000], [0.000, 0.000, 0.456], [0.000, 0.500, 0.231], [0.500, 0.000, 0.231], [0.500, 0.500, 0.456], [0.000, 0.500, 0.688], [0.500, 0.000, 0.688]],
  "de_polymorph_ev_per_atom": 0.1399,
  "sg": "Cmm2",
  "formation_energy_uncorrected_ev_per_atom": 0.24
}

=====

no.,total magnetization (μB/atom)
1,0.000
2,0.000
3,0.000
4,0.000
5,0.235
6,0.000